[1]
Computed, not measured: crystalline Pm6AlTe12 at its relaxed geometry at the PBE level of DFT.

Computed properties:
Formation energy from raw total energies: -1087 meV per atom

Unit cell a=13.4908 b=13.4908 c=12.6567 alpha=90.00 beta=90.00 gamma=120.00
Space group R-3 (No. 148, hexagonal axes)
Asymmetric unit:
Pm1 0.0509 0.6109 0.3099
Al1 0.0000 0.0000 0.0000
Te1 0.0389 0.8263 0.3961
Te2 0.0652 0.8644 0.8826

[2]
Computed, not measured: crystalline Li3CeSe4O12 at its relaxed geometry at the PBE level of DFT.

Computed properties:
Formation energy from raw total energies: -1139 meV per atom

Unit cell a=10.7686 b=10.7686 c=7.8097 alpha=90.00 beta=90.00 gamma=120.00
Space group R32 (No. 155, hexagonal axes)
Asymmetric unit:
Li1 0.0000 0.5808 0.0000
Ce1 0.0000 0.0000 0.0000
Se1 0.0000 0.0000 0.5000
Se2 0.0000 0.4003 0.5000
O1 0.0000 0.5568 0.5000
O2 0.0000 0.8473 0.5000
O3 0.0497 0.1844 0.1856

[3]
Computed, not measured: crystalline BaCu3 at its relaxed geometry at the PBE level of DFT.

Computed properties:
Energy of formation: 0.245 eV/atom

Unit cell a=3.345 b=3.345 c=6.964 alpha=90.00 beta=90.00 gamma=90.00
Space group P4/mmm (No. 123)
Asymmetric unit:
Ba1 0.000 0.000 0.000
Cu1 0.000 0.000 0.500
Cu2 0.500 0.500 0.332

[4]
Computed, not measured: crystalline BaAcPd at its relaxed geometry at the PBE level of DFT.

Computed properties:
ΔE to the lowest computed polymorph: 0.30 eV/f.u.
Energy of formation: -0.417 eV/atom

Unit cell a=3.928 b=3.928 c=14.467 alpha=90.00 beta=90.00 gamma=90.00
Space group I4mm (No. 107)
Asymmetric unit:
Ba1 0.000 0.000 0.000
Ac1 0.000 0.000 0.254
Pd1 0.000 0.000 0.653

Computed E, in the same sequence as the records: -271.79; -323.66; -13.23; -24.95 eV for the cell shown.
Computed M_tot, in the same sequence as the records: 0.0; 0.0; 0.0; 0.0 μB/f.u..